Y3Sc2Ga3O12 | PBE | relaxed

## Properties
Symmetry ... Ia-3d
Final energy ... -639.76 eV/cell
Calculated volume ... 12.5 A^3/atom
Formation energy without anion corrections ... -2.965 eV per atom

Lattice parameters (Å, degrees): 10.9194 10.9194 10.9194 109.47 109.47 109.47
Last column: nearest neighbours and their distance in Å.
Sites, in units of the cell vectors:
1 Y 0.2500 0.3750 0.1250  8 O 2.39-2.47
2 Y 0.7500 0.6250 0.8750  8 O 2.39-2.47
3 Y 0.7500 0.1250 0.3750  8 O 2.39-2.47
4 Y 0.1250 0.2500 0.3750  8 O 2.39-2.47
5 Y 0.3750 0.7500 0.1250  8 O 2.39-2.47
6 Y 0.2500 0.8750 0.6250  8 O 2.39-2.47
7 Y 0.8750 0.7500 0.6250  8 O 2.39-2.47
8 Y 0.6250 0.2500 0.8750  8 O 2.39-2.47
9 Y 0.3750 0.1250 0.2500  8 O 2.39-2.47
10 Y 0.6250 0.8750 0.7500  8 O 2.39-2.47
11 Y 0.1250 0.3750 0.7500  8 O 2.39-2.47
12 Y 0.8750 0.6250 0.2500  8 O 2.39-2.47
13 Sc 0.0000 0.0000 0.0000  6 O 2.11
14 Sc 0.5000 0.0000 0.5000  6 O 2.11
15 Sc 0.0000 0.5000 0.5000  6 O 2.11
16 Sc 0.5000 0.0000 0.0000  6 O 2.11
17 Sc 0.5000 0.5000 0.0000  6 O 2.11
18 Sc 0.5000 0.5000 0.5000  6 O 2.11
19 Sc 0.0000 0.0000 0.5000  6 O 2.11
20 Sc 0.0000 0.5000 0.0000  6 O 2.11
21 Ga 0.2500 0.6250 0.3750  4 O 1.87
22 Ga 0.7500 0.3750 0.6250  4 O 1.87
23 Ga 0.7500 0.8750 0.1250  4 O 1.87
24 Ga 0.3750 0.2500 0.6250  4 O 1.87
25 Ga 0.6250 0.7500 0.3750  4 O 1.87
26 Ga 0.2500 0.1250 0.8750  4 O 1.87
27 Ga 0.1250 0.7500 0.8750  4 O 1.87
28 Ga 0.8750 0.2500 0.1250  4 O 1.87
29 Ga 0.6250 0.3750 0.2500  4 O 1.87
30 Ga 0.3750 0.6250 0.7500  4 O 1.87
31 Ga 0.8750 0.1250 0.7500  4 O 1.87
32 Ga 0.1250 0.8750 0.2500  4 O 1.87
33 O 0.4694 0.3732 0.2871  1 Ga 1.87
34 O 0.5306 0.6268 0.7129  1 Ga 1.87
35 O 0.5861 0.1823 0.2129  1 Ga 1.87
36 O 0.9139 0.1268 0.5962  1 Ga 1.87
37 O 0.2871 0.4694 0.3732  1 Ga 1.87
38 O 0.3177 0.9139 0.2871  1 Ga 1.87
39 O 0.4139 0.8177 0.7871  1 Ga 1.87
40 O 0.0861 0.8732 0.4038  1 Ga 1.87
41 O 0.7129 0.5306 0.6268  1 Ga 1.87
42 O 0.6823 0.0861 0.7129  1 Ga 1.87
43 O 0.0306 0.3177 0.9038  1 Ga 1.87
44 O 0.2129 0.5861 0.1823  1 Ga 1.87
45 O 0.1268 0.0306 0.2129  1 Ga 1.87
46 O 0.9694 0.6823 0.0962  1 Ga 1.87
47 O 0.7871 0.4139 0.8177  1 Ga 1.87
48 O 0.8732 0.9694 0.7871  1 Ga 1.87
49 O 0.5962 0.9139 0.1268  1 Ga 1.87
50 O 0.1823 0.4694 0.5962  1 Ga 1.87
51 O 0.4038 0.0861 0.8732  1 Ga 1.87
52 O 0.8177 0.5306 0.4038  1 Ga 1.87
53 O 0.9038 0.0306 0.3177  1 Ga 1.87
54 O 0.3732 0.5861 0.9038  1 Ga 1.87
55 O 0.0962 0.9694 0.6823  1 Ga 1.87
56 O 0.6268 0.4139 0.0962  1 Ga 1.87
57 O 0.3732 0.2871 0.4694  1 Ga 1.87
58 O 0.5861 0.9038 0.3732  1 Ga 1.87
59 O 0.6268 0.7129 0.5306  1 Ga 1.87
60 O 0.4139 0.0962 0.6268  1 Ga 1.87
61 O 0.1268 0.5962 0.9139  1 Ga 1.87
62 O 0.0306 0.2129 0.1268  1 Ga 1.87
63 O 0.8732 0.4038 0.0861  1 Ga 1.87
64 O 0.9694 0.7871 0.8732  1 Ga 1.87
65 O 0.3177 0.9038 0.0306  1 Ga 1.87
66 O 0.9139 0.2871 0.3177  1 Ga 1.87
67 O 0.6823 0.0962 0.9694  1 Ga 1.87
68 O 0.0861 0.7129 0.6823  1 Ga 1.87
69 O 0.1823 0.2129 0.5861  1 Ga 1.87
70 O 0.4694 0.5962 0.1823  1 Ga 1.87
71 O 0.8177 0.7871 0.4139  1 Ga 1.87
72 O 0.5306 0.4038 0.8177  1 Ga 1.87
73 O 0.2871 0.3177 0.9139  1 Ga 1.87
74 O 0.7129 0.6823 0.0861  1 Ga 1.87
75 O 0.2129 0.1268 0.0306  1 Ga 1.87
76 O 0.7871 0.8732 0.9694  1 Ga 1.87
77 O 0.9038 0.3732 0.5861  1 Ga 1.87
78 O 0.0962 0.6268 0.4139  1 Ga 1.87
79 O 0.5962 0.1823 0.4694  1 Ga 1.87
80 O 0.4038 0.8177 0.5306  1 Ga 1.87

ZrSc2GaO | PBE | relaxed

## Properties
Symmetry ... P4/mmm
Final energy ... -36.23 eV/cell
Calculated volume ... 16.9 A^3/atom
Formation energy without anion corrections ... -1.406 eV per atom

Lattice parameters (Å, degrees): 4.3012 4.3012 4.5738 90.00 90.00 90.00
Last column: nearest neighbours and their distance in Å.
Sites, in units of the cell vectors:
1 Sc 0.0000 0.5000 0.0000  2 O 2.15
2 Sc 0.5000 0.0000 0.0000  2 O 2.15
3 O 0.0000 0.0000 0.0000  4 Sc 2.15, 2 Zr 2.29
4 Ga 0.5000 0.5000 0.5000  4 Zr 3.04, 8 Sc 3.14
5 Zr 0.0000 0.0000 0.5000  2 O 2.29

GaSe2O | PBE | relaxed

## Properties
Symmetry ... R-3m
Final energy ... -15.29 eV/cell
Calculated volume ... 22.0 A^3/atom
Formation energy without anion corrections ... -0.083 eV per atom

Lattice parameters (Å, degrees): 6.9473 6.9473 6.9473 32.89 32.89 32.89
Last column: nearest neighbours and their distance in Å.
Sites, in units of the cell vectors:
1 O 0.0000 0.0000 0.0000  2 Se 1.91
2 Ga 0.5000 0.5000 0.5000  6 Se 2.65
3 Se 0.9030 0.9030 0.9030  1 O 1.91
4 Se 0.0970 0.0970 0.0970  1 O 1.91

GaSe2O | PBE | relaxed

## Properties
Symmetry ... Fm-3m
Final energy ... -13.26 eV/cell
Calculated volume ... 15.6 A^3/atom
Formation energy without anion corrections ... 0.423 eV per atom

Lattice parameters (Å, degrees): 4.4508 4.4508 4.4508 60.00 60.00 60.00
Last column: nearest neighbours and their distance in Å.
Sites, in units of the cell vectors:
1 O 0.0000 0.0000 0.0000  8 Se 2.73
2 Ga 0.5000 0.5000 0.5000  8 Se 2.73
3 Se 0.2500 0.2500 0.2500  4 O 2.73, 4 Ga 2.73
4 Se 0.7500 0.7500 0.7500  4 O 2.73, 4 Ga 2.73

> The lowest calculated volume belongs to which entry?

Y3Sc2Ga3O12